w | Material: MgAl2O4
Method: DFT, GGA-PBEsol
State: relaxed

Cell: 9.934 5.723 32.952 Å, 90.00 95.69 90.00°
Space group C2/m (No. 12)
Inequivalent atoms, fractional coordinates:
1 Mg 0.054 0.000 0.161 (multiplicity 4)
2 Mg 0.089 0.000 0.267 (multiplicity 4)
3 Mg 0.125 0.500 0.875 (multiplicity 4)
4 Mg 0.161 0.500 0.982 (multiplicity 4)
5 Mg 0.194 0.000 0.587 (multiplicity 4)
6 Mg 0.232 0.000 0.696 (multiplicity 4)
7 Mg 0.250 0.250 0.500 (multiplicity 4)
8 Al 0.000 0.000 0.000 (multiplicity 2)
9 Al 0.000 0.000 0.500 (multiplicity 2)
10 Al 0.022 0.500 0.555 (multiplicity 4)
11 Al 0.036 0.248 0.356 (multiplicity 8)
12 Al 0.072 0.500 0.214 (multiplicity 4)
13 Al 0.072 0.500 0.714 (multiplicity 4)
14 Al 0.107 0.250 0.071 (multiplicity 8)
15 Al 0.142 0.000 0.427 (multiplicity 4)
16 Al 0.143 0.000 0.929 (multiplicity 4)
17 Al 0.179 0.250 0.786 (multiplicity 8)
18 Al 0.214 0.500 0.143 (multiplicity 4)
19 Al 0.216 0.500 0.643 (multiplicity 4)
20 O 0.010 0.277 0.752 (multiplicity 8)
21 O 0.020 0.000 0.611 (multiplicity 4)
22 O 0.034 0.000 0.101 (multiplicity 4)
23 O 0.037 0.500 0.611 (multiplicity 4)
24 O 0.053 0.500 0.105 (multiplicity 4)
25 O 0.062 0.223 0.962 (multiplicity 8)
26 O 0.068 0.236 0.461 (multiplicity 8)
27 O 0.088 0.500 0.323 (multiplicity 4)
28 O 0.105 0.500 0.816 (multiplicity 4)
29 O 0.109 0.000 0.326 (multiplicity 4)
30 O 0.125 0.000 0.819 (multiplicity 4)
31 O 0.132 0.279 0.676 (multiplicity 8)
32 O 0.153 0.277 0.181 (multiplicity 8)
33 O 0.161 0.000 0.038 (multiplicity 4)
34 O 0.164 0.000 0.529 (multiplicity 4)
35 O 0.181 0.500 0.042 (multiplicity 4)
36 O 0.190 0.500 0.541 (multiplicity 4)
37 O 0.204 0.226 0.389 (multiplicity 8)
38 O 0.224 0.223 0.895 (multiplicity 8)
39 O 0.232 0.500 0.752 (multiplicity 4)
40 O 0.248 0.500 0.244 (multiplicity 4)

Computed properties:
Crystal system: monoclinic
Volume (Å³/f.u.): 66.6



x | Material: MgAl2O4
Method: DFT, GGA-PBEsol
State: relaxed

Cell: 8.669 2.793 9.964 Å, 90.00 90.00 90.00°
Space group Pnma (No. 62)
Inequivalent atoms, fractional coordinates:
1 Mg 0.245 0.250 0.153 (multiplicity 4)
2 Al 0.059 0.250 0.384 (multiplicity 4)
3 Al 0.087 0.250 0.897 (multiplicity 4)
4 O 0.035 0.750 0.784 (multiplicity 4)
5 O 0.088 0.250 0.571 (multiplicity 4)
6 O 0.120 0.750 0.029 (multiplicity 4)
7 O 0.201 0.750 0.331 (multiplicity 4)

Computed properties:
Crystal system: orthorhombic
Volume (Å³/f.u.): 60.3



Which of them is most stable, and which least? Most stable: w; least stable: x.



w | Material: MgAlP2
Method: DFT, GGA-PBEsol
State: relaxed

Cell: 3.655 5.082 7.184 Å, 90.00 90.00 90.00°
Space group Immm (No. 71)
Inequivalent atoms, fractional coordinates:
1 Mg 0.000 0.000 0.000 (multiplicity 2)
2 Al 0.000 0.000 0.500 (multiplicity 2)
3 P 0.000 0.500 0.222 (multiplicity 4)

Computed properties:
Crystal system: orthorhombic
Volume (Å³/f.u.): 66.7



x | Material: MgAlP2
Method: DFT, GGA-PBEsol
State: relaxed

Cell: 3.318 3.318 5.751 Å, 90.00 90.00 90.00°
Space group P4/mmm (No. 123)
Inequivalent atoms, fractional coordinates:
1 Mg 0.000 0.000 0.000 (multiplicity 1)
2 Al 0.000 0.000 0.500 (multiplicity 1)
3 P 0.500 0.500 0.277 (multiplicity 2)

Computed properties:
Crystal system: tetragonal
Volume (Å³/f.u.): 63.3



Which of them is most stable, and which least? Most stable: w; least stable: x.



w | Material: MgAlP2
Method: DFT, GGA-PBEsol
State: relaxed

Cell: 3.627 3.640 5.145 Å, 90.00 90.00 90.00°
Space group Pmmm (No. 47)
Inequivalent atoms, fractional coordinates:
1 Mg 0.000 0.000 0.000 (multiplicity 1)
2 Al 0.500 0.500 0.500 (multiplicity 1)
3 P 0.000 0.000 0.500 (multiplicity 1)
4 P 0.500 0.500 0.000 (multiplicity 1)

Computed properties:
Crystal system: orthorhombic
Volume (Å³/f.u.): 67.9



x | Material: MgAlP2
Method: DFT, GGA-PBEsol
State: relaxed

Cell: 4.280 4.280 6.887 Å, 90.00 90.00 90.00°
Space group I4/mmm (No. 139)
Inequivalent atoms, fractional coordinates:
1 Mg 0.000 0.000 0.000 (multiplicity 2)
2 Al 0.000 0.000 0.500 (multiplicity 2)
3 P 0.000 0.500 0.250 (multiplicity 4)

Computed properties:
Crystal system: tetragonal
Volume (Å³/f.u.): 63.1



Which of them is most stable, and which least? Most stable: w; least stable: x.



w | Material: Mg2AlP
Method: DFT, GGA-PBEsol
State: relaxed

Cell: 3.355 3.355 6.632 Å, 90.00 90.00 90.00°
Space group P4mm (No. 99)
Inequivalent atoms, fractional coordinates:
1 Mg 0.000 0.000 0.000 (multiplicity 1)
2 Mg 0.500 0.500 0.309 (multiplicity 1)
3 Al 0.500 0.500 0.725 (multiplicity 1)
4 P 0.000 0.000 0.585 (multiplicity 1)

Computed properties:
Crystal system: tetragonal
Volume (Å³/f.u.): 74.7



x | Material: Mg2AlP
Method: DFT, GGA-PBEsol
State: relaxed

Cell: 6.658 6.658 6.658 Å, 90.00 90.00 90.00°
Space group Fm-3m (No. 225)
Inequivalent atoms, fractional coordinates:
1 Mg 0.250 0.250 0.250 (multiplicity 8)
2 Al 0.000 0.000 0.000 (multiplicity 4)
3 P 0.000 0.000 0.500 (multiplicity 4)

Computed properties:
Crystal system: cubic
Volume (Å³/f.u.): 73.8



Which of them is most stable, and which least? Most stable: w; least stable: x.



w | Material: Mg16Al12Pb
Method: DFT, GGA-PBEsol
State: relaxed

Cell: 10.499 14.688 9.053 Å, 90.00 123.62 90.00°
Space group Cm (No. 8)
Inequivalent atoms, fractional coordinates:
1 Mg 0.000 0.000 0.000 (multiplicity 2)
2 Mg 0.001 0.000 0.657 (multiplicity 2)
3 Mg 0.016 0.303 0.320 (multiplicity 4)
4 Mg 0.037 0.359 0.997 (multiplicity 4)
5 Mg 0.200 0.201 0.683 (multiplicity 4)
6 Mg 0.314 0.000 0.713 (multiplicity 2)
7 Mg 0.329 0.324 0.009 (multiplicity 4)
8 Mg 0.334 0.000 0.333 (multiplicity 2)
9 Mg 0.346 0.340 0.404 (multiplicity 4)
10 Mg 0.443 0.155 0.601 (multiplicity 4)
11 Al 0.094 0.094 0.370 (multiplicity 4)
12 Al 0.133 0.500 0.827 (multiplicity 2)
13 Al 0.183 0.186 0.185 (multiplicity 4)
14 Al 0.232 0.405 0.650 (multiplicity 4)
15 Al 0.267 0.092 0.992 (multiplicity 4)
16 Al 0.325 0.500 0.181 (multiplicity 2)
17 Al 0.497 0.315 0.815 (multiplicity 4)
18 Pb 0.110 0.500 0.295 (multiplicity 2)

Computed properties:
Crystal system: monoclinic
Volume (Å³/f.u.): 581.2



x | Material: Mg16Al12Pb
Method: DFT, GGA-PBEsol
State: relaxed

Cell: 10.520 10.520 10.520 Å, 90.00 90.00 90.00°
Space group I-43m (No. 217)
Inequivalent atoms, fractional coordinates:
1 Mg 0.043 0.358 0.358 (multiplicity 24)
2 Mg 0.174 0.174 0.826 (multiplicity 8)
3 Al 0.092 0.092 0.280 (multiplicity 24)
4 Pb 0.000 0.000 0.000 (multiplicity 2)

Computed properties:
Crystal system: cubic
Volume (Å³/f.u.): 582.2



Which of them is most stable, and which least? Most stable: w; least stable: x.



w | Material: MgAlRe
Method: DFT, GGA-PBEsol
State: relaxed

Cell: 6.106 6.106 6.106 Å, 90.00 90.00 90.00°
Space group F-43m (No. 216)
Inequivalent atoms, fractional coordinates:
1 Mg 0.000 0.000 0.000 (multiplicity 4)
2 Al 0.000 0.000 0.500 (multiplicity 4)
3 Re 0.250 0.250 0.750 (multiplicity 4)

Computed properties:
Crystal system: cubic
Volume (Å³/f.u.): 56.9



x | Material: MgAlRe
Method: DFT, GGA-PBEsol
State: relaxed

Cell: 2.8442 2.8442 6.8557 Å, 90.00 90.00 120.00°
Space group P3m1 (No. 156)
Inequivalent atoms, fractional coordinates:
1 Mg 0.0000 0.0000 0.0000 (multiplicity 1)
2 Al 0.6667 0.3333 0.3607 (multiplicity 1)
3 Re 0.3333 0.6667 0.6654 (multiplicity 1)

Computed properties:
Crystal system: trigonal
Volume (Å³/f.u.): 48.0



Which of them is most stable, and which least? Most stable: x; least stable: w.



w | Material: MgAlSe2
Method: DFT, GGA-PBEsol
State: relaxed

Cell: 3.771 5.276 8.820 Å, 90.00 90.00 90.00°
Space group Cmm2 (No. 35)
Inequivalent atoms, fractional coordinates:
1 Mg 0.000 0.000 0.000 (multiplicity 2)
2 Al 0.000 0.500 0.275 (multiplicity 2)
3 Se 0.000 0.000 0.448 (multiplicity 2)
4 Se 0.000 0.500 0.802 (multiplicity 2)

Computed properties:
Crystal system: orthorhombic
Volume (Å³/f.u.): 87.8



x | Material: MgAlSe2
Method: DFT, GGA-PBEsol
State: relaxed

Cell: 3.6954 3.6954 23.9195 Å, 90.00 90.00 120.00°
Space group R-3m (No. 166, hexagonal axes)
Inequivalent atoms, fractional coordinates:
1 Mg 0.0000 0.0000 0.0000 (multiplicity 3)
2 Al 0.0000 0.0000 0.5000 (multiplicity 3)
3 Se 0.0000 0.0000 0.1089 (multiplicity 6)

Computed properties:
Crystal system: trigonal
Volume (Å³/f.u.): 94.3



Which of them is most stable, and which least? Most stable: x; least stable: w.



w | Material: MgAl2Se
Method: DFT, GGA-PBEsol
State: relaxed

Cell: 3.4558 3.4558 23.3587 Å, 90.00 90.00 120.00°
Space group R-3m (No. 166, hexagonal axes)
Inequivalent atoms, fractional coordinates:
1 Mg 0.0000 0.0000 0.0000 (multiplicity 3)
2 Al 0.0000 0.0000 0.2412 (multiplicity 6)
3 Se 0.0000 0.0000 0.5000 (multiplicity 3)

Computed properties:
Crystal system: trigonal
Volume (Å³/f.u.): 80.5



x | Material: MgAl2Se
Method: DFT, GGA-PBEsol
State: relaxed

Cell: 3.564 5.438 4.096 Å, 90.00 90.44 90.00°
Space group P2/m (No. 10)
Inequivalent atoms, fractional coordinates:
1 Mg 0.000 0.000 0.000 (multiplicity 1)
2 Al 0.252 0.500 0.748 (multiplicity 2)
3 Se 0.500 0.000 0.500 (multiplicity 1)

Computed properties:
Crystal system: monoclinic
Volume (Å³/f.u.): 79.4



Which of them is most stable, and which least? Most stable: x; least stable: w.



w | Material: MgAlSi2
Method: DFT, GGA-PBEsol
State: relaxed

Cell: 2.852 4.076 5.586 Å, 90.00 90.00 90.00°
Space group Pmm2 (No. 25)
Inequivalent atoms, fractional coordinates:
1 Mg 0.000 0.000 0.000 (multiplicity 1)
2 Al 0.500 0.500 0.707 (multiplicity 1)
3 Si 0.000 0.000 0.499 (multiplicity 1)
4 Si 0.500 0.500 0.229 (multiplicity 1)

Computed properties:
Crystal system: orthorhombic
Volume (Å³/f.u.): 64.9



x | Material: MgAlSi2
Method: DFT, GGA-PBEsol
State: relaxed

Cell: 3.310 3.310 6.104 Å, 90.00 90.00 90.00°
Space group P4mm (No. 99)
Inequivalent atoms, fractional coordinates:
1 Mg 0.000 0.000 0.000 (multiplicity 1)
2 Al 0.500 0.500 0.705 (multiplicity 1)
3 Si 0.000 0.000 0.463 (multiplicity 1)
4 Si 0.500 0.500 0.288 (multiplicity 1)

Computed properties:
Crystal system: tetragonal
Volume (Å³/f.u.): 66.9



Which of them is most stable, and which least? Most stable: x; least stable: w.



w | Material: MgAlSi
Method: DFT, GGA-PBEsol
State: relaxed

Cell: 6.594 4.022 7.942 Å, 90.00 90.00 90.00°
Space group Pnma (No. 62)
Inequivalent atoms, fractional coordinates:
1 Mg 0.035 0.250 0.173 (multiplicity 4)
2 Al 0.141 0.250 0.566 (multiplicity 4)
3 Si 0.240 0.750 0.378 (multiplicity 4)

Computed properties:
Crystal system: orthorhombic
Volume (Å³/f.u.): 52.7



x | Material: MgAlSi
Method: DFT, GGA-PBEsol
State: relaxed

Cell: 2.967 3.689 9.487 Å, 90.00 90.00 90.00°
Space group Imm2 (No. 44)
Inequivalent atoms, fractional coordinates:
1 Mg 0.000 0.000 0.000 (multiplicity 2)
2 Al 0.000 0.000 0.310 (multiplicity 2)
3 Si 0.000 0.000 0.678 (multiplicity 2)

Computed properties:
Crystal system: orthorhombic
Volume (Å³/f.u.): 51.9



Which of them is most stable, and which least? Most stable: w; least stable: x.